# 1
NbCuNiPd (PBE-GGA, relaxed); energy above the lowest structure with this stoichiometry = 0.0000 eV per atom; energy relative to the elements = -0.4 eV/f.u.; calculated total energy = -25.5 eV per cell; calculated volume = 14.0 Å³/atom
1.0
4.2982 0.0000 0.0000
2.1491 3.7223 0.0000
2.1491 1.2408 3.5094
Ni Nb Cu Pd
1 1 1 1
Direct
0.7500 0.7500 0.7500
0.5000 0.5000 0.5000
0.2500 0.2500 0.2500
0.0000 0.0000 0.0000


# 2
Ba3SbOs (PBE-GGA, relaxed); energy above the lowest structure with this stoichiometry = 0.0000 eV per atom; calculated total energy = -21.0 eV per cell; calculated volume = 39.7 Å³/atom; raw formation energy = 0.02 eV per atom
1.0
-0.0312 -4.3221 3.9158
5.6562 -0.9771 -1.0335
1.4219 3.7921 4.1969
Sb Os Ba
1 1 3
Direct
0.5000 0.5000 0.5000
0.0000 0.0000 0.0000
0.0000 0.5000 0.0000
0.0000 0.0000 0.5000
0.5000 0.0000 0.0000


# 3
Pm2YSc (PBE-GGA, relaxed); energy above the lowest structure with this stoichiometry = 0.0113 eV per atom; energy relative to the elements = 0.2 eV/f.u.; calculated total energy = -44.2 eV per cell; calculated volume = 31.3 Å³/atom
1.0
-1.4725 -3.2120 0.4323
5.4524 -2.2621 1.7727
-6.2629 6.0704 9.1446
Pm Y Sc
4 2 2
Direct
0.1730 0.9477 0.8315
0.9112 0.8472 0.3090
0.4114 0.3472 0.3090
0.6730 0.4477 0.8315
0.5432 0.8996 0.5725
0.0433 0.3996 0.5725
0.7922 0.9805 0.0705
0.2923 0.4805 0.0705


# 4
TaBAsBr2 (PBE-GGA, relaxed); energy above the lowest structure with this stoichiometry = 0.0000 eV per atom; calculated total energy = -21.6 eV per cell; calculated volume = 26.7 Å³/atom; raw formation energy = 0.98 eV per atom
1.0
5.1292 0.0000 0.0000
0.0000 5.1292 0.0000
0.0000 0.0000 5.0754
As B Br Ta
1 1 2 1
Direct
0.0000 0.0000 0.5000
0.5000 0.5000 0.5000
0.0000 0.5000 0.0000
0.5000 0.0000 0.0000
0.0000 0.0000 0.0000


# 5
HfZn2Ag2 (PBE-GGA, relaxed); energy above the lowest structure with this stoichiometry = 0.0535 eV per atom; energy relative to the elements = 0.4 eV/f.u.; calculated total energy = -17.8 eV per cell; calculated volume = 18.0 Å³/atom
1.0
-0.8219 -3.5102 1.4575
3.4986 -0.1161 1.6934
-0.9345 0.7415 6.4461
Zn Hf Ag
2 1 2
Direct
0.4007 0.4007 0.1985
0.5993 0.5993 0.8015
0.0000 0.0000 0.0000
0.7500 0.2500 0.5000
0.2500 0.7500 0.5000


# 6
VSb2CI (PBE-GGA, relaxed); energy above the lowest structure with this stoichiometry = 0.1938 eV per atom; calculated total energy = -20.2 eV per cell; calculated volume = 28.1 Å³/atom; raw formation energy = 1.60 eV per atom
1.0
5.1285 0.0000 0.0000
0.0000 5.1285 0.0000
0.0000 0.0000 5.3359
I Sb C V
1 2 1 1
Direct
0.0000 0.0000 0.5000
0.0000 0.5000 0.0000
0.5000 0.0000 0.0000
0.5000 0.5000 0.5000
0.0000 0.0000 0.0000